VASP calculation (PBE-GGA) on a relaxed structure of KZrPb2.

Cell and atoms, written as POSCAR:
```
KZrPb2
1.0
-2.519 -1.744 -1.453
1.545 -2.893 0.863
-4.956 -0.062 8.667
Pb Zr K
2 1 1
Direct
0.000 0.000 0.031 Pb
0.000 0.000 0.469 Pb
0.500 0.500 0.250 Zr
0.500 0.500 0.750 K
```

Space-group type ... No. 65
ΔE_f ... -0.152 eV/atom
Energy ... -17.67 eV for the cell shown
Crystal system ... orthorhombic
Excess energy over the best structure of this formula in the dataset ... 0.000 eV per atom
Density of states at the Fermi level ... 3.7 states/eV/f.u.